# 1
VASP calculation (PBE) on crystalline YNi4Ge at its relaxed geometry.

a = 4.915 Å, b = 4.915 Å, c = 4.915 Å
α = 60.00°, β = 60.00°, γ = 60.00°
Sites, in units of the cell vectors:
Y1 0.000 0.000 0.000
Ni1 0.624 0.624 0.128
Ni2 0.624 0.128 0.624
Ni3 0.624 0.624 0.624
Ni4 0.128 0.624 0.624
Ge1 0.250 0.250 0.250

## Properties
Space group: F-43m, No. 216
Energy of formation from the pure elements (eV per atom): -0.32

***

# 2
VASP calculation (PBE) on crystalline Ce2Ga8Co at its relaxed geometry.

a = 4.298 Å, b = 4.298 Å, c = 11.235 Å
α = 90.00°, β = 90.00°, γ = 90.00°
Sites, in units of the cell vectors:
Ce1 0.000 0.000 0.303
Ce2 0.000 0.000 0.697
Ga1 0.000 0.500 0.500
Ga2 0.500 0.000 0.500
Ga3 0.500 0.500 0.303
Ga4 0.500 0.500 0.697
Ga5 0.000 0.500 0.115
Ga6 0.500 0.000 0.115
Ga7 0.000 0.500 0.885
Ga8 0.500 0.000 0.885
Co1 0.000 0.000 0.000

## Properties
Space group: P4/mmm, No. 123
Energy of formation from the pure elements (eV per atom): -0.48

***

# 3
VASP calculation (PBE) on crystalline TbPr3Er8 at its relaxed geometry.

a = 8.378 Å, b = 8.378 Å, c = 8.378 Å
α = 95.17°, β = 117.06°, γ = 117.06°
Sites, in units of the cell vectors:
Tb1 0.000 0.000 0.000
Pr1 0.500 0.750 0.250
Pr2 0.500 0.250 0.750
Pr3 0.000 0.500 0.500
Er1 0.487 0.231 0.231
Er2 0.513 0.744 0.744
Er3 0.000 0.769 0.256
Er4 0.000 0.256 0.769
Er5 0.251 0.370 0.370
Er6 0.749 0.119 0.119
Er7 0.000 0.630 0.881
Er8 0.000 0.881 0.630

## Properties
Space group: I-42m, No. 121
Energy of formation from the pure elements (eV per atom): 0.63

***

# 4
VASP calculation (PBE) on crystalline AlCo2Br4 at its relaxed geometry.

a = 5.388 Å, b = 5.388 Å, c = 7.153 Å
α = 67.88°, β = 67.88°, γ = 90.00°
Site moments in Bohr magnetons follow the coordinates.
Sites, in units of the cell vectors:
Co1 0.588 0.588 0.825  2.00
Co2 0.412 0.412 0.175  2.00
Al1 0.000 0.000 0.000  0.00
Br1 0.787 0.787 0.427  0.03
Br2 0.213 0.213 0.573  0.03
Br3 0.000 0.500 0.000  0.05
Br4 0.500 0.000 0.000  0.05

## Properties
Space group: I4/mmm, No. 139
Raw formation energy (eV/atom): 0.06

***

# 5
VASP calculation (PBE) on crystalline Mg5HgAu6 at its relaxed geometry.

a = 4.661 Å, b = 6.758 Å, c = 7.418 Å
α = 90.00°, β = 109.11°, γ = 90.00°
Sites, in units of the cell vectors:
Mg1 0.665 0.500 0.334
Mg2 0.340 0.000 0.677
Mg3 0.000 0.500 0.000
Mg4 0.660 0.000 0.323
Mg5 0.335 0.500 0.666
Au1 0.827 0.745 0.651
Au2 0.827 0.255 0.651
Au3 0.500 0.271 0.000
Au4 0.500 0.729 0.000
Au5 0.173 0.745 0.349
Au6 0.173 0.255 0.349
Hg1 0.000 0.000 0.000

## Properties
Space group: P2/m, No. 10
Energy of formation from the pure elements (eV per atom): -0.51

***

# 6
VASP calculation (PBE) on crystalline YZrZn3 at its relaxed geometry.

a = 5.066 Å, b = 5.066 Å, c = 5.066 Å
α = 90.00°, β = 90.00°, γ = 90.00°
Sites, in units of the cell vectors:
Y1 0.000 0.000 0.000
Zn1 0.000 0.500 0.000
Zn2 0.000 0.000 0.500
Zn3 0.500 0.000 0.000
Zr1 0.500 0.500 0.500

## Properties
Space group: Pm-3m, No. 221
Energy of formation from the pure elements (eV per atom): 1.03

***

# 7
VASP calculation (PBE) on crystalline La2PrErTm2 at its relaxed geometry.

a = 5.628 Å, b = 6.932 Å, c = 10.335 Å
α = 90.00°, β = 90.00°, γ = 90.00°
Sites, in units of the cell vectors:
La1 0.500 0.056 0.024
La2 0.000 0.321 0.202
La3 0.500 0.556 0.976
La4 0.000 0.821 0.798
Pr1 0.500 0.197 0.689
Pr2 0.500 0.697 0.311
Er1 0.000 0.954 0.474
Er2 0.000 0.454 0.526
Tm1 0.000 0.314 0.866
Tm2 0.500 0.203 0.374
Tm3 0.000 0.814 0.134
Tm4 0.500 0.703 0.626

## Properties
Space group: Pmc2_1, No. 26
Energy of formation from the pure elements (eV per atom): 0.07

***

# 8
VASP calculation (PBE) on crystalline Rb4Dy3InTe8 at its relaxed geometry.

a = 9.040 Å, b = 10.027 Å, c = 9.042 Å
α = 116.82°, β = 119.99°, γ = 90.00°
Sites, in units of the cell vectors:
Rb1 0.500 0.000 0.000
Rb2 0.500 0.000 0.500
Rb3 0.000 0.000 0.000
Rb4 0.000 0.000 0.500
Dy1 0.500 0.500 0.000
Dy2 0.500 0.500 0.500
Dy3 0.000 0.500 0.500
In1 0.000 0.500 0.000
Te1 0.231 0.697 0.966
Te2 0.231 0.697 0.461
Te3 0.267 0.300 0.534
Te4 0.736 0.697 0.966
Te5 0.264 0.303 0.034
Te6 0.733 0.700 0.466
Te7 0.769 0.303 0.539
Te8 0.769 0.303 0.034

## Properties
Space group: R-3m, No. 166
Raw formation energy (eV/atom): -1.17

***

So what do the calculations give for volume? Going down the list: 84.0 207.5 432.3 175.7 220.7 130.0 403.2 605.9 Å³/cell.
So what do the calculations give for M_tot? Going down the list: 0.000 0.012 0.006 4.320 0.000 0.000 0.000 0.000 Bohr magnetons per cell.